[1]
VASP calculation (PBE) on a relaxed ScGa2Rh2 crystal.

## Properties
- theoretical density (g cm⁻³) = 8.20
- total magnetization (μB/f.u.) = 0.0
- E (eV/atom) = -6.136
- formation energy from the elements (eV per atom) = -0.72

```
ScGa2Rh2
1.0
7.311 0.000 0.000
0.000 7.311 0.000
0.000 0.000 2.956
Sc Ga Rh
2 4 4
Direct
0.000 0.000 0.000
0.500 0.500 0.000
0.152 0.348 0.500
0.348 0.848 0.500
0.652 0.152 0.500
0.848 0.652 0.500
0.145 0.645 0.000
0.355 0.145 0.000
0.645 0.855 0.000
0.855 0.355 0.000
```

[2]
VASP calculation (PBE) on a relaxed ScGaRh4 crystal.

## Properties
- theoretical density (g cm⁻³) = 9.66
- total magnetization (μB/f.u.) = 0.0
- E (eV/atom) = -6.932
- formation energy from the elements (eV per atom) = -0.47

```
ScGaRh4
1.0
5.131 -1.531 0.000
5.131 1.531 0.000
-1.847 0.000 5.756
Sc Ga Rh
1 1 4
Direct
0.000 0.000 0.000
0.000 0.000 0.500
0.337 0.337 0.184
0.348 0.348 0.653
0.652 0.652 0.347
0.663 0.663 0.816
```

[3]
VASP calculation (PBE) on a relaxed Sc3Ga8Rh4 crystal.

## Properties
- theoretical density (g cm⁻³) = 7.59
- total magnetization (μB/f.u.) = 0.0
- E (eV/atom) = -5.559
- formation energy from the elements (eV per atom) = -0.72

```
Sc3Ga8Rh4
1.0
0.000 6.229 6.229
6.229 0.000 6.229
6.229 6.229 0.000
Sc Ga Rh
6 16 8
Direct
0.222 0.222 0.778
0.222 0.778 0.222
0.222 0.778 0.778
0.778 0.222 0.222
0.778 0.222 0.778
0.778 0.778 0.222
0.123 0.626 0.626
0.150 0.150 0.150
0.150 0.150 0.550
0.150 0.550 0.150
0.374 0.374 0.374
0.374 0.374 0.877
0.374 0.877 0.374
0.450 0.850 0.850
0.550 0.150 0.150
0.626 0.123 0.626
0.626 0.626 0.123
0.626 0.626 0.626
0.850 0.450 0.850
0.850 0.850 0.450
0.850 0.850 0.850
0.877 0.374 0.374
0.000 0.000 0.000
0.000 0.000 0.500
0.000 0.500 0.000
0.000 0.500 0.500
0.500 0.000 0.000
0.500 0.000 0.500
0.500 0.500 0.000
0.500 0.500 0.500
```

[4]
VASP calculation (PBE) on a relaxed Sc4Ga12Rh crystal.

## Properties
- theoretical density (g cm⁻³) = 6.30
- total magnetization (μB/f.u.) = 0.0
- E (eV/atom) = -4.603
- formation energy from the elements (eV per atom) = -0.54

```
Sc4Ga12Rh
1.0
-4.194 4.194 4.194
4.194 -4.194 4.194
4.194 4.194 -4.194
Sc Ga Rh
4 12 1
Direct
0.000 0.000 0.500
0.000 0.500 0.000
0.500 0.000 0.000
0.500 0.500 0.500
0.000 0.292 0.292
0.000 0.708 0.708
0.250 0.500 0.750
0.250 0.750 0.500
0.292 0.000 0.292
0.292 0.292 0.000
0.500 0.250 0.750
0.500 0.750 0.250
0.708 0.000 0.708
0.708 0.708 0.000
0.750 0.250 0.500
0.750 0.500 0.250
0.000 0.000 0.000
```

[5]
VASP calculation (PBE) on a relaxed Sc2GaRh crystal.

## Properties
- theoretical density (g cm⁻³) = 6.07
- total magnetization (μB/f.u.) = 0.0
- E (eV/atom) = -6.574
- formation energy from the elements (eV per atom) = -0.81

```
Sc2GaRh
1.0
3.297 0.000 0.000
0.000 3.297 0.000
0.000 0.000 6.611
Sc Ga Rh
2 1 1
Direct
0.000 0.000 0.236
0.000 0.000 0.764
0.500 0.500 0.500
0.500 0.500 0.000
```

[6]
VASP calculation (PBE) on a relaxed ScGa2Rh crystal.

## Properties
- theoretical density (g cm⁻³) = 7.24
- total magnetization (μB/f.u.) = 0.6
- E (eV/atom) = -5.541
- formation energy from the elements (eV per atom) = -0.61

```
ScGa2Rh
1.0
3.131 0.000 0.000
0.000 3.131 0.000
0.000 0.000 6.719
Sc Ga Rh
1 2 1
Direct
0.000 0.000 0.000
0.500 0.500 0.288
0.500 0.500 0.712
0.000 0.000 0.500
```

[7]
VASP calculation (PBE) on a relaxed Sc3Ga4Rh crystal.

## Properties
- theoretical density (g cm⁻³) = 5.68
- total magnetization (μB/f.u.) = 0.0
- E (eV/atom) = -5.259
- formation energy from the elements (eV per atom) = -0.45

```
Sc3Ga4Rh
1.0
-1.574 2.846 8.437
1.574 -2.846 8.437
1.574 2.846 -8.437
Sc Ga Rh
3 4 1
Direct
0.000 0.000 0.000
0.267 0.767 0.500
0.733 0.233 0.500
0.121 0.379 0.741
0.362 0.621 0.741
0.638 0.379 0.259
0.879 0.621 0.259
0.500 0.500 0.000
```

[8]
VASP calculation (PBE) on a relaxed Sc5Ga5Rh2 crystal.

## Properties
- theoretical density (g cm⁻³) = 5.89
- total magnetization (μB/f.u.) = 0.0
- E (eV/atom) = -5.865
- formation energy from the elements (eV per atom) = -0.74

```
Sc5Ga5Rh2
1.0
-2.204 4.405 5.658
2.204 -4.405 5.658
2.204 4.405 -5.658
Sc Ga Rh
5 5 2
Direct
0.000 0.000 0.000
0.164 0.852 0.312
0.460 0.148 0.312
0.540 0.852 0.688
0.836 0.148 0.688
0.211 0.500 0.711
0.262 0.262 0.000
0.500 0.500 0.000
0.738 0.738 0.000
0.789 0.500 0.289
0.154 0.654 0.500
0.846 0.346 0.500
```

[9]
VASP calculation (PBE) on a relaxed Sc5Ga4Rh crystal.

## Properties
- theoretical density (g cm⁻³) = 5.44
- total magnetization (μB/f.u.) = 0.0
- E (eV/atom) = -5.797
- formation energy from the elements (eV per atom) = -0.69

```
Sc5Ga4Rh
1.0
3.339 0.000 0.000
0.000 3.339 0.000
0.000 0.000 16.614
Sc Ga Rh
5 4 1
Direct
0.000 0.000 0.000
0.000 0.000 0.205
0.000 0.000 0.408
0.000 0.000 0.592
0.000 0.000 0.795
0.500 0.500 0.102
0.500 0.500 0.307
0.500 0.500 0.693
0.500 0.500 0.898
0.500 0.500 0.500
```

[10]
VASP calculation (PBE) on a relaxed Sc5GaRh6 crystal.

## Properties
- theoretical density (g cm⁻³) = 7.76
- total magnetization (μB/f.u.) = 0.0
- E (eV/atom) = -7.564
- formation energy from the elements (eV per atom) = -1.00

```
Sc5GaRh6
1.0
3.919 -6.748 0.000
3.919 6.748 0.000
-2.590 0.000 3.691
Sc Ga Rh
5 1 6
Direct
0.000 0.000 0.000
0.169 0.831 0.500
0.340 0.660 0.000
0.660 0.340 0.000
0.831 0.169 0.500
0.500 0.500 0.500
0.086 0.417 0.251
0.250 0.250 0.749
0.417 0.086 0.251
0.583 0.914 0.749
0.750 0.750 0.251
0.914 0.583 0.749
```

[11]
VASP calculation (PBE) on a relaxed Sc4GaRh5 crystal.

## Properties
- theoretical density (g cm⁻³) = 7.83
- total magnetization (μB/f.u.) = 0.0
- E (eV/atom) = -7.476
- formation energy from the elements (eV per atom) = -0.97

```
Sc4GaRh5
1.0
3.210 0.000 0.000
0.000 3.210 0.000
0.000 0.000 15.730
Sc Ga Rh
4 1 5
Direct
0.000 0.000 0.103
0.000 0.000 0.308
0.000 0.000 0.692
0.000 0.000 0.897
0.000 0.000 0.500
0.500 0.500 0.000
0.500 0.500 0.205
0.500 0.500 0.410
0.500 0.500 0.590
0.500 0.500 0.795
```

[12]
VASP calculation (PBE) on a relaxed ScGa2Rh crystal.

## Properties
- theoretical density (g cm⁻³) = 7.29
- total magnetization (μB/f.u.) = 0.0
- E (eV/atom) = -5.559
- formation energy from the elements (eV per atom) = -0.62

```
ScGa2Rh
1.0
3.912 0.000 0.000
0.000 3.912 0.000
0.000 0.000 4.274
Sc Ga Rh
1 2 1
Direct
0.000 0.000 0.000
0.000 0.500 0.500
0.500 0.000 0.500
0.500 0.500 0.000
```